1.
This record from the Alexandria database describes crystalline HfHgTe2 at its relaxed geometry. The functional is PBE-GGA.

a b c (Å): 3.954 3.954 10.567
angles (deg): 90.00 90.00 120.00
Fractional positions:
Te (0.333, 0.667, 0.828)
Te (0.667, 0.333, 0.165)
Hf (0.000, 0.000, 0.997)
Hg (0.333, 0.667, 0.465)



2.
This record from the Alexandria database describes crystalline HfHgTe2 at its relaxed geometry. The functional is PBE-GGA.

a b c (Å): 6.747 4.257 16.080
angles (deg): 90.00 90.00 90.00
Fractional positions:
Te (0.770, 0.250, 0.471)
Te (0.730, 0.750, 0.971)
Te (0.230, 0.750, 0.529)
Te (0.270, 0.250, 0.029)
Te (0.428, 0.250, 0.705)
Te (0.072, 0.750, 0.205)
Te (0.572, 0.750, 0.295)
Te (0.928, 0.250, 0.795)
Hf (0.030, 0.250, 0.619)
Hf (0.470, 0.750, 0.119)
Hf (0.970, 0.750, 0.381)
Hf (0.530, 0.250, 0.881)
Hg (0.276, 0.250, 0.350)
Hg (0.224, 0.750, 0.850)
Hg (0.724, 0.750, 0.650)
Hg (0.776, 0.250, 0.150)



3.
This record from the Alexandria database describes crystalline Hf2Hg2Te at its relaxed geometry. The functional is PBE-GGA.

a b c (Å): 7.348 7.348 4.414
angles (deg): 90.00 90.00 90.00
Fractional positions:
Te (0.000, 0.000, 0.000)
Te (0.500, 0.500, 0.000)
Hf (0.350, 0.850, 0.000)
Hf (0.850, 0.650, 0.000)
Hf (0.650, 0.150, 0.000)
Hf (0.150, 0.350, 0.000)
Hg (0.150, 0.650, 0.500)
Hg (0.650, 0.850, 0.500)
Hg (0.850, 0.350, 0.500)
Hg (0.350, 0.150, 0.500)



4.
This record from the Alexandria database describes crystalline Hf2HgTe at its relaxed geometry. The functional is PBE-GGA.

a b c (Å): 4.980 4.980 4.980
angles (deg): 60.00 60.00 60.00
Fractional positions:
Te (0.000, 0.000, 0.000)
Hf (0.250, 0.250, 0.250)
Hf (0.750, 0.750, 0.750)
Hg (0.500, 0.500, 0.500)



5.
This record from the Alexandria database describes crystalline HfHgTe2 at its relaxed geometry. The functional is PBE-GGA.

a b c (Å): 3.952 10.182 3.952
angles (deg): 78.68 120.01 101.20
Fractional positions:
Te (0.660, 0.995, 0.227)
Te (0.112, 0.355, 0.772)
Hf (0.386, 0.175, 0.499)
Hg (0.884, 0.675, 0.998)



6.
This record from the Alexandria database describes crystalline HfHgTe2 at its relaxed geometry. The functional is PBE-GGA.

a b c (Å): 6.023 6.023 7.767
angles (deg): 67.19 67.19 90.00
Site moments in Bohr magnetons follow the coordinates.
Fractional positions:
Te (0.722, 0.722, 0.556)  -0.01
Te (0.028, 0.528, 0.944)  -0.01
Te (0.278, 0.278, 0.444)  -0.01
Te (0.472, 0.972, 0.056)  -0.01
Hf (0.500, 0.500, 0.000)  0.36
Hf (0.250, 0.750, 0.500)  0.36
Hg (0.000, 0.000, 0.000)  0.03
Hg (0.750, 0.250, 0.500)  0.03



7.
This record from the Alexandria database describes crystalline HfHgTe2 at its relaxed geometry. The functional is PBE-GGA.

a b c (Å): 4.362 4.362 9.604
angles (deg): 90.00 90.00 120.00
Fractional positions:
Te (0.333, 0.667, 0.717)
Te (0.667, 0.333, 0.311)
Hf (0.333, 0.667, 0.450)
Hg (0.000, 0.000, 0.977)



8.
This record from the Alexandria database describes crystalline HfHgTe2 at its relaxed geometry. The functional is PBE-GGA.

a b c (Å): 7.470 8.301 6.968
angles (deg): 90.00 90.00 90.00
Fractional positions:
Te (0.143, 0.799, 0.176)
Te (0.857, 0.201, 0.676)
Te (0.357, 0.299, 0.676)
Te (0.643, 0.701, 0.176)
Te (0.857, 0.799, 0.676)
Te (0.143, 0.201, 0.176)
Te (0.643, 0.299, 0.176)
Te (0.357, 0.701, 0.676)
Hf (0.842, 0.000, 0.029)
Hf (0.158, 0.000, 0.529)
Hf (0.658, 0.500, 0.529)
Hf (0.342, 0.500, 0.029)
Hg (0.985, 0.500, 0.869)
Hg (0.015, 0.500, 0.369)
Hg (0.515, 0.000, 0.369)
Hg (0.485, 0.000, 0.869)



How do the records compare in formation energy (no corrections)? In the order shown, they have -0.606; -0.432; -0.142; -0.096; -0.611; -0.233; -0.157; -0.325 eV/atom.